Arrangement A

A relaxed structure of KTaTe4. Source: the Alexandria database, functional PBE-GGA.

POSCAR file:
```
KTaTe4
1.0
-5.830 2.652 0.423
-2.158 3.775 -4.721
-4.736 -2.034 -3.824
K Te Ta
1 4 1
Direct
0.750 0.750 0.750 K
0.374 0.374 0.879 Te
0.374 0.879 0.374 Te
0.879 0.374 0.374 Te
0.374 0.374 0.374 Te
0.000 0.000 0.000 Ta
```

Properties
Theoretical density, g/cm3: 6.5
DOS at the Fermi energy, states/eV/f.u.: 5.39

=====

Arrangement B

A relaxed structure of KTaTe4. Source: the Alexandria database, functional PBE-GGA.

POSCAR file:
```
KTaTe4
1.0
-6.197 0.136 -0.274
-3.507 -8.142 3.546
-1.989 -0.986 8.623
Ta Te K
2 8 2
Direct
0.750 0.000 0.001 Ta
0.250 0.000 0.999 Ta
0.128 0.685 0.133 Te
0.452 0.245 0.700 Te
0.048 0.056 0.700 Te
0.372 0.182 0.133 Te
0.872 0.315 0.867 Te
0.952 0.944 0.300 Te
0.548 0.755 0.300 Te
0.628 0.818 0.867 Te
0.250 0.632 0.736 K
0.750 0.368 0.264 K
```

Properties
Theoretical density, g/cm3: 5.8
DOS at the Fermi energy, states/eV/f.u.: 3.32

=====

Energetically preferred structure: arrangement B | next structure: +1152 meV per atom

=====

Arrangement A

A relaxed structure of KTaTi2. Source: the Alexandria database, functional PBE-GGA.

POSCAR file:
```
KTaTi2
1.0
-4.183 -2.896 1.936
2.813 -4.592 -0.792
2.587 -3.120 8.573
K Ti Ta
2 4 2
Direct
0.250 0.750 0.500 K
0.500 0.500 0.000 K
0.876 0.625 0.250 Ti
0.375 0.126 0.750 Ti
0.875 0.124 0.750 Ti
0.874 0.125 0.250 Ti
0.000 0.000 0.000 Ta
0.750 0.250 0.500 Ta
```

Properties
Theoretical density, g/cm3: 4.1
DOS at the Fermi energy, states/eV/f.u.: 4.95

=====

Arrangement B

A relaxed structure of KTaTi2. Source: the Alexandria database, functional PBE-GGA.

POSCAR file:
```
KTaTi2
1.0
2.020 -4.443 -0.081
-2.372 -3.795 1.948
-1.848 -3.469 -2.894
K Ti Ta
1 2 1
Direct
0.000 0.000 0.000 K
0.250 0.250 0.250 Ti
0.750 0.750 0.750 Ti
0.500 0.500 0.500 Ta
```

Properties
Theoretical density, g/cm3: 6.4
DOS at the Fermi energy, states/eV/f.u.: 8.22

=====

Energetically preferred structure: arrangement B | next structure: +451 meV per atom

=====

Arrangement A

A relaxed structure of K3TaTl. Source: the Alexandria database, functional PBE-GGA.

POSCAR file:
```
K3TaTl
1.0
-4.900 0.399 -4.487
-3.304 -4.824 3.180
-3.061 4.568 3.749
Ta Tl K
1 1 3
Direct
0.000 0.000 0.000 Ta
0.500 0.500 0.500 Tl
0.000 0.000 0.500 K
0.000 0.500 0.000 K
0.500 0.000 0.000 K
```

Properties
Theoretical density, g/cm3: 2.8
DOS at the Fermi energy, states/eV/f.u.: 6.22

=====

Arrangement B

A relaxed structure of K3TaTl. Source: the Alexandria database, functional PBE-GGA.

POSCAR file:
```
K3TaTl
1.0
6.499 0.000 0.000
0.000 6.499 0.000
0.000 0.000 6.499
Ta K Tl
1 3 1
Direct
0.500 0.500 0.500 Ta
0.000 0.500 0.000 K
0.000 0.000 0.500 K
0.500 0.000 0.000 K
0.000 0.000 0.000 Tl
```

Properties
Theoretical density, g/cm3: 3.0
DOS at the Fermi energy, states/eV/f.u.: 7.34

=====

Energetically preferred structure: arrangement A | next structure: +60 meV per atom

=====

Arrangement A

A relaxed structure of K2TaV2. Source: the Alexandria database, functional PBE-GGA.

POSCAR file:
```
K2TaV2
1.0
5.330 0.000 0.000
0.000 5.330 0.000
2.665 2.665 4.468
Ta K V
1 2 2
Direct
0.000 0.000 0.000 Ta
0.641 0.641 0.717 K
0.359 0.359 0.283 K
0.250 0.750 0.500 V
0.750 0.250 0.500 V
```

Properties
Theoretical density, g/cm3: 4.7
DOS at the Fermi energy, states/eV/f.u.: 8.27

=====

Arrangement B

A relaxed structure of K2TaV2. Source: the Alexandria database, functional PBE-GGA.

POSCAR file:
```
K2TaV2
1.0
9.319 0.000 0.000
0.000 9.319 0.000
0.000 0.000 2.858
V K Ta
4 4 2
Direct
0.693 0.807 0.500 V
0.307 0.193 0.500 V
0.807 0.307 0.500 V
0.193 0.693 0.500 V
0.386 0.886 0.000 K
0.614 0.114 0.000 K
0.886 0.614 0.000 K
0.114 0.386 0.000 K
0.500 0.500 0.000 Ta
0.000 0.000 0.000 Ta
```

Properties
Theoretical density, g/cm3: 4.8
DOS at the Fermi energy, states/eV/f.u.: 5.73

=====

Energetically preferred structure: arrangement B | next structure: +378 meV per atom

=====

Arrangement A

A relaxed structure of KTa2W. Source: the Alexandria database, functional PBE-GGA.

POSCAR file:
```
KTa2W
1.0
6.236 0.010 0.001
3.101 5.411 -0.001
-3.755 -4.284 2.538
Ta K W
2 1 1
Direct
0.742 0.242 0.500 Ta
0.971 0.971 0.000 Ta
0.257 0.757 0.500 K
0.530 0.530 0.000 W
```

Properties
Theoretical density, g/cm3: 11.4
DOS at the Fermi energy, states/eV/f.u.: 3.88

=====

Arrangement B

A relaxed structure of KTa2W. Source: the Alexandria database, functional PBE-GGA.

POSCAR file:
```
KTa2W
1.0
-2.858 0.002 -0.235
0.858 -0.252 2.725
-0.079 10.956 1.039
K W Ta
1 1 2
Direct
0.500 0.500 0.740 K
0.000 0.000 0.458 W
0.000 0.000 0.043 Ta
0.500 0.500 0.259 Ta
```

Properties
Theoretical density, g/cm3: 11.6
DOS at the Fermi energy, states/eV/f.u.: 2.82

=====

Energetically preferred structure: arrangement B | next structure: +668 meV per atom

=====

Arrangement A

A relaxed structure of KTa2W. Source: the Alexandria database, functional PBE-GGA.

POSCAR file:
```
KTa2W
1.0
0.000 3.398 3.398
3.398 0.000 3.398
3.398 3.398 0.000
Ta K W
2 1 1
Direct
0.750 0.750 0.750 Ta
0.250 0.250 0.250 Ta
0.000 0.000 0.000 K
0.500 0.500 0.500 W
```

Properties
Theoretical density, g/cm3: 12.4
DOS at the Fermi energy, states/eV/f.u.: 4.40

=====

Arrangement B

A relaxed structure of KTa2W. Source: the Alexandria database, functional PBE-GGA.

POSCAR file:
```
KTa2W
1.0
3.313 0.000 0.000
0.000 4.850 0.000
0.000 0.000 4.850
W Ta K
1 2 1
Direct
0.500 0.500 0.000 W
0.000 0.500 0.500 Ta
0.000 0.000 0.000 Ta
0.500 0.000 0.500 K
```

Properties
Theoretical density, g/cm3: 12.5
DOS at the Fermi energy, states/eV/f.u.: 4.67

=====

Energetically preferred structure: arrangement A | next structure: +174 meV per atom

=====

Arrangement A

A relaxed structure of KTa2W. Source: the Alexandria database, functional PBE-GGA.

POSCAR file:
```
KTa2W
1.0
-3.735 2.276 -0.124
-1.028 -1.794 -1.978
-3.399 -5.298 5.117
Ta W K
2 1 1
Direct
0.000 0.540 0.402 Ta
0.000 0.960 0.098 Ta
0.500 0.250 0.250 W
0.500 0.750 0.750 K
```

Properties
Theoretical density, g/cm3: 9.6
DOS at the Fermi energy, states/eV/f.u.: 4.41

=====

Arrangement B

A relaxed structure of KTa2W. Source: the Alexandria database, functional PBE-GGA.

POSCAR file:
```
KTa2W
1.0
-2.379 -0.794 0.988
0.176 -4.529 -3.219
2.557 -2.721 3.968
Ta W K
2 1 1
Direct
0.000 0.000 0.000 Ta
0.500 0.500 0.000 Ta
0.500 0.000 0.500 W
0.000 0.500 0.500 K
```

Properties
Theoretical density, g/cm3: 11.9
DOS at the Fermi energy, states/eV/f.u.: 5.05

=====

Arrangement C

A relaxed structure of KTa2W. Source: the Alexandria database, functional PBE-GGA.

POSCAR file:
```
KTa2W
1.0
-1.802 1.313 -1.655
-2.109 -1.260 1.296
-0.549 8.341 7.217
Ta K W
2 1 1
Direct
0.500 0.500 0.254 Ta
0.000 0.000 0.046 Ta
0.500 0.500 0.740 K
0.000 0.000 0.460 W
```

Properties
Theoretical density, g/cm3: 11.4
DOS at the Fermi energy, states/eV/f.u.: 3.31

=====

Arrangement D

A relaxed structure of KTa2W. Source: the Alexandria database, functional PBE-GGA.

POSCAR file:
```
KTa2W
1.0
-1.782 2.829 3.663
-3.885 1.382 2.756
1.565 -5.459 5.077
Ta W K
2 1 1
Direct
0.252 0.252 0.258 Ta
0.992 0.992 0.089 Ta
0.506 0.506 0.411 W
0.750 0.750 0.743 K
```

Properties
Theoretical density, g/cm3: 9.9
DOS at the Fermi energy, states/eV/f.u.: 3.40

=====

Energetically preferred structure: arrangement C | next structure: +23 meV per atom

=====

Arrangement A

A relaxed structure of KTa2W. Source: the Alexandria database, functional PBE-GGA.

POSCAR file:
```
KTa2W
1.0
-3.719 2.708 1.461
-4.090 0.067 -2.563
-3.978 -2.104 1.747
Ta K W
2 1 1
Direct
0.000 0.000 0.000 Ta
0.250 0.250 0.250 Ta
0.500 0.500 0.500 K
0.750 0.750 0.750 W
```

Properties
Theoretical density, g/cm3: 12.2
DOS at the Fermi energy, states/eV/f.u.: 5.80

=====

Arrangement B

A relaxed structure of KTa2W. Source: the Alexandria database, functional PBE-GGA.

POSCAR file:
```
KTa2W
1.0
-2.448 -1.618 -1.835
-1.756 -0.645 2.912
-4.201 7.377 -0.898
Ta K W
2 1 1
Direct
0.500 0.500 0.260 Ta
0.000 0.000 0.102 Ta
0.500 0.500 0.736 K
0.000 0.000 0.401 W
```

Properties
Theoretical density, g/cm3: 9.5
DOS at the Fermi energy, states/eV/f.u.: 1.66

=====

Arrangement C

A relaxed structure of KTa2W. Source: the Alexandria database, functional PBE-GGA.

POSCAR file:
```
KTa2W
1.0
-5.782 0.841 0.748
1.807 -3.811 -4.134
-0.388 -2.360 1.266
W K Ta
1 1 2
Direct
0.000 0.500 0.500 W
0.500 0.500 0.000 K
0.000 0.000 0.000 Ta
0.500 0.000 0.500 Ta
```

Properties
Theoretical density, g/cm3: 12.2
DOS at the Fermi energy, states/eV/f.u.: 4.99

=====

Arrangement D

A relaxed structure of KTa2W. Source: the Alexandria database, functional PBE-GGA.

POSCAR file:
```
KTa2W
1.0
-3.864 -1.953 -1.790
-2.104 -3.987 -1.274
-3.148 -0.840 7.420
W Ta K
1 2 1
Direct
0.250 0.250 0.250 W
0.507 0.507 0.412 Ta
0.993 0.993 0.088 Ta
0.750 0.750 0.750 K
```

Properties
Theoretical density, g/cm3: 9.8
DOS at the Fermi energy, states/eV/f.u.: 3.42

=====

Energetically preferred structure: arrangement B | next structure: +109 meV per atom

=====

Arrangement A

A relaxed structure of KTa2W. Source: the Alexandria database, functional PBE-GGA.

POSCAR file:
```
KTa2W
1.0
-8.759 7.660 -1.009
-10.194 5.347 -1.970
-10.052 5.883 0.863
K Ta W
1 2 1
Direct
0.750 0.750 0.750 K
0.988 0.988 0.988 Ta
0.512 0.512 0.512 Ta
0.250 0.250 0.250 W
```

Properties
Theoretical density, g/cm3: 11.6
DOS at the Fermi energy, states/eV/f.u.: 4.19

=====

Arrangement B

A relaxed structure of KTa2W. Source: the Alexandria database, functional PBE-GGA.

POSCAR file:
```
KTa2W
1.0
4.516 0.000 0.000
0.000 2.858 0.044
0.000 1.363 7.877
Ta W K
2 1 1
Direct
0.500 0.278 0.260 Ta
0.000 0.946 0.098 Ta
0.000 0.560 0.401 W
0.500 0.717 0.741 K
```

Properties
Theoretical density, g/cm3: 9.6
DOS at the Fermi energy, states/eV/f.u.: 5.20

=====

Arrangement C

A relaxed structure of KTa2W. Source: the Alexandria database, functional PBE-GGA.

POSCAR file:
```
KTa2W
1.0
5.734 0.022 0.000
-2.483 5.169 0.000
0.000 0.000 2.699
W Ta K
1 2 1
Direct
0.500 0.000 0.500 W
0.500 0.500 0.000 Ta
0.000 0.000 0.000 Ta
0.000 0.500 0.500 K
```

Properties
Theoretical density, g/cm3: 12.1
DOS at the Fermi energy, states/eV/f.u.: 4.92

=====

Arrangement D

A relaxed structure of KTa2W. Source: the Alexandria database, functional PBE-GGA.

POSCAR file:
```
KTa2W
1.0
4.987 0.000 0.000
0.000 4.987 0.000
2.493 2.493 8.959
Ta K W
4 2 2
Direct
0.771 0.125 0.250 Ta
0.375 0.229 0.750 Ta
0.979 0.625 0.250 Ta
0.875 0.021 0.750 Ta
0.250 0.750 0.500 K
0.500 0.500 0.000 K
0.000 0.000 0.000 W
0.750 0.250 0.500 W
```

Properties
Theoretical density, g/cm3: 8.7
DOS at the Fermi energy, states/eV/f.u.: 2.18

=====

Energetically preferred structure: arrangement A | next structure: +31 meV per atom

=====

Arrangement A

A relaxed structure of K3TaW. Source: the Alexandria database, functional PBE-GGA.

POSCAR file:
```
K3TaW
1.0
-5.810 -0.372 -1.415
1.321 -3.828 -4.416
-0.630 -4.594 3.794
W K Ta
1 3 1
Direct
0.000 0.000 0.000 W
0.000 0.000 0.500 K
0.500 0.000 0.000 K
0.000 0.500 0.000 K
0.500 0.500 0.500 Ta
```

Properties
Theoretical density, g/cm3: 3.7
DOS at the Fermi energy, states/eV/f.u.: 20.74

=====

Arrangement B

A relaxed structure of K3TaW. Source: the Alexandria database, functional PBE-GGA.

POSCAR file:
```
K3TaW
1.0
-3.473 -2.875 4.068
3.989 -4.575 0.171
2.984 2.770 4.505
K W Ta
3 1 1
Direct
0.500 0.000 0.000 K
0.000 0.000 0.500 K
0.000 0.500 0.000 K
0.500 0.500 0.500 W
0.000 0.000 0.000 Ta
```

Properties
Theoretical density, g/cm3: 3.6
DOS at the Fermi energy, states/eV/f.u.: 21.01

=====

Energetically preferred structure: arrangement A | next structure: +162 meV per atom

=====

Arrangement A

A relaxed structure of KY2Ta. Source: the Alexandria database, functional PBE-GGA.

POSCAR file:
```
KY2Ta
1.0
8.147 0.000 0.000
-3.401 4.864 -0.003
1.346 0.943 2.875
Ta Y K
1 2 1
Direct
0.500 0.500 0.000 Ta
0.500 0.000 0.500 Y
0.000 0.000 0.000 Y
0.000 0.500 0.500 K
```

Properties
Theoretical density, g/cm3: 5.8
DOS at the Fermi energy, states/eV/f.u.: 6.34

=====

Arrangement B

A relaxed structure of KY2Ta. Source: the Alexandria database, functional PBE-GGA.

POSCAR file:
```
KY2Ta
1.0
-3.036 -1.035 -4.488
-4.028 -3.764 0.203
-5.277 1.595 -0.188
Ta Y K
1 2 1
Direct
0.750 0.750 0.750 Ta
0.250 0.250 0.250 Y
0.000 0.000 0.000 Y
0.500 0.500 0.500 K
```

Properties
Theoretical density, g/cm3: 5.6
DOS at the Fermi energy, states/eV/f.u.: 3.54

=====

Energetically preferred structure: arrangement A | next structure: +208 meV per atom